Density functional theory data (PBE) for a relaxed structure of Ho2Al5Ni.

abc: 6.1069 6.1069 8.3676
angles: 90.00 90.00 90.00
Closest atoms and distances in Å follow each position.
Space group I4mm (No. 107)
Symmetry-distinct sites (fractional):
Ho 0.0000 0.5000 0.0000  10 Al 2.99-3.06
Al 0.0000 0.0000 0.0226  1 Ni 2.47
Al 0.2251 0.2251 0.7536  1 Ni 2.43
Ni 0.0000 0.0000 0.3175  5 Al 2.43-2.47

Properties
- D(E_F) (states/eV/cell) = 9.981
- crystal system = tetragonal
- VASP energy (eV/atom) = -4.545